Material: Zn4Cu3Ni2
Method: DFT, GGA-PBE
State: optimized geometry

```
Zn4Cu3Ni2
1.0
3.957 -1.884 0.000
3.957 1.884 0.000
-1.849 0.000 7.540
Zn Cu Ni
4 3 2
Direct
0.006 0.006 0.333
0.334 0.334 0.113
0.666 0.666 0.887
0.994 0.994 0.667
0.000 0.000 0.000
0.332 0.332 0.442
0.668 0.668 0.558
0.334 0.334 0.781
0.666 0.666 0.219
```

Total moment in μB per atom: 0.000
Fermi-level density of states in states/eV per atom: 0.3293
Final energy in eV per atom: -3.35
Calculated volume in Å³ per cell: 112.4
Formation enthalpy at 0 K in eV/atom: -0.136